Record 1
Density functional theory data (GGA-PBE) for an optimized crystal structure of Ca2SbAs.

The structure in POSCAR format:
```
Ca2SbAs
1.0
11.658 0.000 0.000
0.000 4.332 0.000
-0.987 0.000 4.452
Ca Sb As
4 2 2
direct
0.000 0.000 0.000
0.239 0.500 0.478
0.500 0.500 0.000
0.739 0.000 0.478
0.278 0.000 0.012
0.778 0.500 0.012
0.478 0.000 0.460
0.978 0.500 0.460
```

Computed properties:
E_tot = -4.09 eV per atom



Record 2
Density functional theory data (GGA-PBE) for an optimized crystal structure of Mg2MoHW.

The structure in POSCAR format:
```
Mg2MoHW
1.0
3.930 0.000 0.000
0.000 3.930 0.000
0.000 0.000 4.485
Mg Mo H W
2 1 1 1
direct
0.000 0.500 0.000
0.500 0.000 0.000
0.000 0.000 0.500
0.500 0.500 0.000
0.500 0.500 0.500
```

Computed properties:
E_tot = -5.69 eV per atom



Record 3
Density functional theory data (GGA-PBE) for an optimized crystal structure of AcMgReO6.

The structure in POSCAR format:
```
AcMgReO6
1.0
5.294 0.000 0.000
-2.647 4.585 0.000
0.000 0.000 5.298
Ac Mg Re O
1 1 1 6
direct
0.000 0.000 0.000
0.333 0.667 0.500
0.667 0.333 0.500
0.388 0.025 0.706
0.388 0.363 0.294
0.637 0.025 0.294
0.637 0.612 0.706
0.975 0.363 0.706
0.975 0.612 0.294
```

Computed properties:
E_tot = -7.74 eV per atom



Record 4
Density functional theory data (GGA-PBE) for an optimized crystal structure of Ga6MoPd.

The structure in POSCAR format:
```
Ga6MoPd
1.0
7.626 0.000 0.000
0.000 5.360 0.000
-3.101 0.000 7.029
Ga Mo Pd
12 2 2
direct
0.140 0.000 0.442
0.189 0.251 0.811
0.189 0.749 0.811
0.311 0.249 0.189
0.311 0.751 0.189
0.360 0.500 0.558
0.640 0.500 0.442
0.689 0.249 0.811
0.689 0.751 0.811
0.811 0.251 0.189
0.811 0.749 0.189
0.860 0.000 0.558
0.000 0.500 0.500
0.500 0.000 0.500
0.000 0.500 0.000
0.500 0.000 0.000
```

Computed properties:
formation enthalpy at 0 K = -0.28 eV per formula unit
E_tot = -4.31 eV per atom



Record 5
Density functional theory data (GGA-PBE) for an optimized crystal structure of BaNb2Ir2.

The structure in POSCAR format:
```
BaNb2Ir2
1.0
4.562 0.000 0.000
0.000 4.562 0.000
0.000 0.000 10.891
Ba Nb Ir
2 4 4
direct
0.000 0.000 0.000
0.500 0.500 0.500
0.000 0.500 0.250
0.000 0.500 0.750
0.500 0.000 0.250
0.500 0.000 0.750
0.000 0.000 0.367
0.000 0.000 0.633
0.500 0.500 0.133
0.500 0.500 0.867
```

Computed properties:
formation enthalpy at 0 K = -1.49 eV per formula unit
E_tot = -8.25 eV per atom



Record 6
Density functional theory data (GGA-PBE) for an optimized crystal structure of BeCoTe2.

The structure in POSCAR format:
```
BeCoTe2
1.0
3.283 0.000 0.000
0.000 3.283 0.000
0.000 0.000 6.709
Be Co Te
1 1 2
direct
0.000 0.000 0.000
0.000 0.000 0.500
0.500 0.500 0.257
0.500 0.500 0.743
```

Computed properties:
E_tot = -3.66 eV per atom



Record 7
Density functional theory data (GGA-PBE) for an optimized crystal structure of LiCoRh6.

The structure in POSCAR format:
```
LiCoRh6
1.0
8.467 0.000 0.000
0.000 3.777 0.000
-3.400 0.000 6.771
Li Co Rh
2 2 12
direct
0.000 0.000 0.000
0.500 0.500 0.000
0.000 0.000 0.500
0.500 0.500 0.500
0.002 0.500 0.747
0.250 0.000 0.375
0.250 0.000 0.875
0.250 0.500 0.125
0.250 0.500 0.625
0.498 0.000 0.253
0.502 0.000 0.747
0.750 0.000 0.125
0.750 0.000 0.625
0.750 0.500 0.375
0.750 0.500 0.875
0.998 0.500 0.253
```

Computed properties:
formation enthalpy at 0 K = -0.14 eV per formula unit
E_tot = -6.66 eV per atom



Record 8
Density functional theory data (GGA-PBE) for an optimized crystal structure of Li2CoW.

The structure in POSCAR format:
```
Li2CoW
1.0
8.347 0.000 0.000
0.000 2.605 0.000
-0.633 0.000 5.035
Li Co W
4 2 2
direct
0.000 0.000 0.000
0.243 0.000 0.803
0.500 0.500 0.000
0.743 0.500 0.803
0.229 0.500 0.307
0.729 0.000 0.307
0.481 0.000 0.472
0.981 0.500 0.472
```

Computed properties:
formation enthalpy at 0 K = 1.47 eV per formula unit
E_tot = -5.61 eV per atom
energy relative to the lowest polymorph listed for this composition = 90.2 meV/atom



Record 9
Density functional theory data (GGA-PBE) for an optimized crystal structure of Ba3NbZn.

The structure in POSCAR format:
```
Ba3NbZn
1.0
6.102 0.000 0.000
0.000 6.102 0.000
0.000 0.000 6.102
Ba Nb Zn
3 1 1
direct
0.000 0.000 0.500
0.000 0.500 0.000
0.500 0.000 0.000
0.000 0.000 0.000
0.500 0.500 0.500
```

Computed properties:
formation enthalpy at 0 K = 3.82 eV per formula unit
E_tot = -2.66 eV per atom
energy relative to the lowest polymorph listed for this composition = 0.0 meV/atom



Record 10
Density functional theory data (GGA-PBE) for an optimized crystal structure of CePrCdSi.

The structure in POSCAR format:
```
CePrCdSi
1.0
7.457 0.000 0.000
0.000 7.457 0.000
0.000 0.000 7.457
Ce Pr Cd Si
4 4 4 4
direct
0.000 0.000 0.000
0.000 0.500 0.500
0.500 0.000 0.500
0.500 0.500 0.000
0.000 0.000 0.500
0.000 0.500 0.000
0.500 0.000 0.000
0.500 0.500 0.500
0.250 0.250 0.750
0.250 0.750 0.250
0.750 0.250 0.250
0.750 0.750 0.750
0.250 0.250 0.250
0.250 0.750 0.750
0.750 0.250 0.750
0.750 0.750 0.250
```

Computed properties:
E_tot = -4.57 eV per atom



Record 11
Density functional theory data (GGA-PBE) for an optimized crystal structure of Ga2HgI.

The structure in POSCAR format:
```
Ga2HgI
1.0
4.131 0.000 0.000
-2.066 3.578 0.000
0.000 0.000 22.991
Ga Hg I
6 3 3
direct
0.000 0.000 0.241
0.000 0.000 0.759
0.333 0.667 0.425
0.333 0.667 0.908
0.667 0.333 0.092
0.667 0.333 0.575
0.000 0.000 0.500
0.333 0.667 0.167
0.667 0.333 0.833
0.000 0.000 0.000
0.333 0.667 0.667
0.667 0.333 0.333
```

Computed properties:
E_tot = -2.01 eV per atom
energy relative to the lowest polymorph listed for this composition = 0.0 meV/atom